Record 1
Below is a relaxed structure of AcGdLuIn, with properties calculated at the PBE level.

Cell and atoms, written as CIF:
```
data_AcGdLuIn
_symmetry_space_group_name_H-M 'F -4 3 m'
_symmetry_Int_Tables_number 216
_symmetry_space_group_name_Hall 'F -4 2 3'
_cell_length_a 7.916
_cell_length_b 7.916
_cell_length_c 7.916
_cell_angle_alpha 90.00
_cell_angle_beta 90.00
_cell_angle_gamma 90.00
loop_
_atom_site_label
_atom_site_type_symbol
_atom_site_fract_x
_atom_site_fract_y
_atom_site_fract_z
Ac1 Ac 0.000 0.000 0.000
Gd1 Gd 0.250 0.250 0.250
Lu1 Lu 0.250 0.250 0.750
In1 In 0.000 0.000 0.500
```

Summary:
**ΔE_f**: -3.1 kJ per mole of atoms
**Total magnetization**: 2.14 μB/atom
**Theoretical density**: 9.03 g/cm3
**Final energy**: -6.394 eV/atom

Record 2
Below is a relaxed structure of InAg14Pb, with properties calculated at the PBE level.

Cell and atoms, written as CIF:
```
data_InAg14Pb
_symmetry_space_group_name_H-M 'P 4/m m m'
_symmetry_Int_Tables_number 123
_symmetry_space_group_name_Hall '-P 4 2'
_cell_length_a 6.050
_cell_length_b 6.050
_cell_length_c 8.255
_cell_angle_alpha 90.00
_cell_angle_beta 90.00
_cell_angle_gamma 90.00
loop_
_atom_site_label
_atom_site_type_symbol
_atom_site_fract_x
_atom_site_fract_y
_atom_site_fract_z
In1 In 0.000 0.000 0.000
Ag1 Ag 0.000 0.000 0.500
Ag2 Ag 0.000 0.500 0.000
Ag3 Ag 0.000 0.500 0.500
Ag4 Ag 0.246 0.246 0.260
Ag5 Ag 0.500 0.500 0.500
Pb1 Pb 0.500 0.500 0.000
```

Summary:
**ΔE_f**: 3.9 kJ per mole of atoms
**Total magnetization**: 0.00 μB/atom
**Theoretical density**: 10.07 g/cm3
**Final energy**: -2.858 eV/atom

Record 3
Below is a relaxed structure of AlCr2Re, with properties calculated at the PBE level.

Cell and atoms, written as CIF:
```
data_AlCr2Re
_symmetry_space_group_name_H-M 'I -4 2 d'
_symmetry_Int_Tables_number 122
_symmetry_space_group_name_Hall 'I -4 2bw'
_cell_length_a 6.854
_cell_length_b 6.854
_cell_length_c 5.098
_cell_angle_alpha 90.00
_cell_angle_beta 90.00
_cell_angle_gamma 90.00
loop_
_atom_site_label
_atom_site_type_symbol
_atom_site_fract_x
_atom_site_fract_y
_atom_site_fract_z
Al1 Al 0.000 0.000 0.000
Cr1 Cr 0.218 0.250 0.625
Re1 Re 0.000 0.000 0.500
```

Summary:
**ΔE_f**: 68.2 kJ per mole of atoms
**Total magnetization**: 0.00 μB/atom
**Theoretical density**: 8.80 g/cm3
**Final energy**: -8.152 eV/atom

Record 4
Below is a relaxed structure of FeSiTc2, with properties calculated at the PBE level.

Cell and atoms, written as CIF:
```
data_FeSiTc2
_symmetry_space_group_name_H-M 'I -4 2 d'
_symmetry_Int_Tables_number 122
_symmetry_space_group_name_Hall 'I -4 2bw'
_cell_length_a 6.597
_cell_length_b 6.597
_cell_length_c 5.164
_cell_angle_alpha 90.00
_cell_angle_beta 90.00
_cell_angle_gamma 90.00
loop_
_atom_site_label
_atom_site_type_symbol
_atom_site_fract_x
_atom_site_fract_y
_atom_site_fract_z
Fe1 Fe 0.000 0.000 0.000
Si1 Si 0.000 0.000 0.500
Tc1 Tc 0.240 0.750 0.125
```

Summary:
**Formation energy from raw total energies**: 0.45 eV/atom
**Total magnetization**: 0.01 μB/atom
**Theoretical density**: 8.27 g/cm3
**Final energy**: -8.205 eV/atom

Record 5
Below is a relaxed structure of Sm2NiGe, with properties calculated at the PBE level.

Cell and atoms, written as CIF:
```
data_Sm2NiGe
_symmetry_space_group_name_H-M 'P 1 21/m 1'
_symmetry_Int_Tables_number 11
_symmetry_space_group_name_Hall '-P 2yb'
_cell_length_a 5.932
_cell_length_b 4.204
_cell_length_c 7.974
_cell_angle_alpha 90.00
_cell_angle_beta 110.44
_cell_angle_gamma 90.00
loop_
_atom_site_label
_atom_site_type_symbol
_atom_site_fract_x
_atom_site_fract_y
_atom_site_fract_z
Sm1 Sm 0.224 0.250 0.411
Sm2 Sm 0.226 0.250 0.946
Ni1 Ni 0.383 0.750 0.218
Ge1 Ge 0.336 0.750 0.706
```

Summary:
**ΔE_f**: -59.0 kJ per mole of atoms
**Total magnetization**: 0.00 μB/atom
**Theoretical density**: 7.70 g/cm3
**Final energy**: -5.570 eV/atom

Record 6
Below is a relaxed structure of HfSc2SbF, with properties calculated at the PBE level.

Cell and atoms, written as CIF:
```
data_HfSc2SbF
_symmetry_space_group_name_H-M 'P 4/m m m'
_symmetry_Int_Tables_number 123
_symmetry_space_group_name_Hall '-P 4 2'
_cell_length_a 5.456
_cell_length_b 5.456
_cell_length_c 5.348
_cell_angle_alpha 90.00
_cell_angle_beta 90.00
_cell_angle_gamma 90.00
loop_
_atom_site_label
_atom_site_type_symbol
_atom_site_fract_x
_atom_site_fract_y
_atom_site_fract_z
Hf1 Hf 0.000 0.000 0.000
Sc1 Sc 0.000 0.500 0.500
Sb1 Sb 0.000 0.000 0.500
F1 F 0.500 0.500 0.000
```

Summary:
**Formation energy from raw total energies**: 0.39 eV/atom
**Total magnetization**: 0.88 μB/atom
**Theoretical density**: 4.27 g/cm3
**Final energy**: -5.330 eV/atom

Record 7
Below is a relaxed structure of Mn5ZnFeN2, with properties calculated at the PBE level.

Cell and atoms, written as CIF:
```
data_Mn5ZnFeN2
_symmetry_space_group_name_H-M 'P 4/m m m'
_symmetry_Int_Tables_number 123
_symmetry_space_group_name_Hall '-P 4 2'
_cell_length_a 3.934
_cell_length_b 3.934
_cell_length_c 7.374
_cell_angle_alpha 90.00
_cell_angle_beta 90.00
_cell_angle_gamma 90.00
loop_
_atom_site_label
_atom_site_type_symbol
_atom_site_fract_x
_atom_site_fract_y
_atom_site_fract_z
Mn1 Mn 0.000 0.000 0.000
Mn2 Mn 0.000 0.500 0.278
Zn1 Zn 0.500 0.500 0.000
Fe1 Fe 0.000 0.000 0.500
N1 N 0.000 0.000 0.256
```

Summary:
**Formation energy from raw total energies**: 0.01 eV/atom
**Total magnetization**: 1.74 μB/atom
**Theoretical density**: 6.17 g/cm3
**Final energy**: -8.019 eV/atom

Record 8
Below is a relaxed structure of Ce4Tl5Pd2, with properties calculated at the PBE level.

Cell and atoms, written as CIF:
```
data_Ce4Tl5Pd2
_symmetry_space_group_name_H-M 'P 1 2/m 1'
_symmetry_Int_Tables_number 10
_symmetry_space_group_name_Hall '-P 2y'
_cell_length_a 8.106
_cell_length_b 3.712
_cell_length_c 9.901
_cell_angle_alpha 90.00
_cell_angle_beta 94.26
_cell_angle_gamma 90.00
loop_
_atom_site_label
_atom_site_type_symbol
_atom_site_fract_x
_atom_site_fract_y
_atom_site_fract_z
Ce1 Ce 0.192 0.000 0.351
Ce2 Ce 0.223 0.000 0.929
Tl1 Tl 0.155 0.500 0.639
Tl2 Tl 0.456 0.500 0.168
Tl3 Tl 0.500 0.500 0.500
Pd1 Pd 0.077 0.500 0.135
```

Summary:
**ΔE_f**: -37.9 kJ per mole of atoms
**Total magnetization**: 0.29 μB/atom
**Theoretical density**: 10.03 g/cm3
**Final energy**: -4.570 eV/atom

Record 9
Below is a relaxed structure of KGa2PH2, with properties calculated at the PBE level.

Cell and atoms, written as CIF:
```
data_KGa2PH2
_symmetry_space_group_name_H-M 'P 1 21/m 1'
_symmetry_Int_Tables_number 11
_symmetry_space_group_name_Hall '-P 2yb'
_cell_length_a 6.445
_cell_length_b 5.975
_cell_length_c 6.885
_cell_angle_alpha 90.00
_cell_angle_beta 116.76
_cell_angle_gamma 90.00
loop_
_atom_site_label
_atom_site_type_symbol
_atom_site_fract_x
_atom_site_fract_y
_atom_site_fract_z
K1 K 0.230 0.250 0.479
Ga1 Ga 0.289 0.502 0.035
P1 P 0.353 0.750 0.773
H1 H 0.119 0.250 0.927
H2 H 0.305 0.750 0.200
```

Summary:
**Total magnetization**: 0.00 μB/atom
**Theoretical density**: 2.97 g/cm3
**Final energy**: -3.242 eV/atom

Record 10
Below is a relaxed structure of RbHgBi2, with properties calculated at the PBE level.

Cell and atoms, written as CIF:
```
data_RbHgBi2
_symmetry_space_group_name_H-M 'R -3 m'
_symmetry_Int_Tables_number 166
_symmetry_space_group_name_Hall '-R 3 2"'
_cell_length_a 5.5879
_cell_length_b 5.5879
_cell_length_c 19.7579
_cell_angle_alpha 90.00
_cell_angle_beta 90.00
_cell_angle_gamma 120.00
loop_
_atom_site_label
_atom_site_type_symbol
_atom_site_fract_x
_atom_site_fract_y
_atom_site_fract_z
Rb1 Rb 0.0000 0.0000 0.0000
Hg1 Hg 0.0000 0.0000 0.5000
Bi1 Bi 0.0000 0.0000 0.1889
```

Summary:
**ΔE_f**: -9.3 kJ per mole of atoms
**Total magnetization**: 0.00 μB/atom
**Theoretical density**: 6.56 g/cm3
**Final energy**: -2.354 eV/atom

Record 11
Below is a relaxed structure of PuUC2, with properties calculated at the PBE level.

Cell and atoms, written as CIF:
```
data_PuUC2
_symmetry_space_group_name_H-M 'R 3 m'
_symmetry_Int_Tables_number 160
_symmetry_space_group_name_Hall 'R 3 -2"'
_cell_length_a 3.4323
_cell_length_b 3.4323
_cell_length_c 17.8277
_cell_angle_alpha 90.00
_cell_angle_beta 90.00
_cell_angle_gamma 120.00
loop_
_atom_site_label
_atom_site_type_symbol
_atom_site_fract_x
_atom_site_fract_y
_atom_site_fract_z
Pu1 Pu 0.0000 0.0000 0.0000
U1 U 0.0000 0.0000 0.8347
C1 C 0.0000 0.0000 0.4181
C2 C 0.0000 0.0000 0.5799
```

Summary:
**ΔE_f**: 6.8 kJ per mole of atoms
**Total magnetization**: 1.41 μB/atom
**Theoretical density**: 13.86 g/cm3
**Excess energy over the best structure of this formula in the dataset**: 138 meV/atom
**Final energy**: -10.947 eV/atom

Record 12
Below is a relaxed structure of NdSmCu4, with properties calculated at the PBE level.

Cell and atoms, written as CIF:
```
data_NdSmCu4
_symmetry_space_group_name_H-M 'I m m 2'
_symmetry_Int_Tables_number 44
_symmetry_space_group_name_Hall 'I 2 -2'
_cell_length_a 4.337
_cell_length_b 7.114
_cell_length_c 7.448
_cell_angle_alpha 90.00
_cell_angle_beta 90.00
_cell_angle_gamma 90.00
loop_
_atom_site_label
_atom_site_type_symbol
_atom_site_fract_x
_atom_site_fract_y
_atom_site_fract_z
Nd1 Nd 0.000 0.000 0.000
Sm1 Sm 0.000 0.500 0.070
Cu1 Cu 0.000 0.204 0.371
Cu2 Cu 0.000 0.293 0.702
```

Summary:
**ΔE_f**: -21.3 kJ per mole of atoms
**Total magnetization**: 0.00 μB/atom
**Theoretical density**: 7.93 g/cm3
**Excess energy over the best structure of this formula in the dataset**: 0 meV/atom
**Final energy**: -4.533 eV/atom